A plane-wave DFT calculation with PBE-GGA was carried out for a relaxed PrHoTh2 crystal.

Lattice parameters (Å, degrees): 5.0555 5.0964 10.2224 90.00 90.10 90.00
Element x y z (fractional)
1 Pr 0.0005 0.2500 0.3670
2 Pr 0.9995 0.7500 0.6330
3 Ho 0.4997 0.2500 0.6333
4 Ho 0.5003 0.7500 0.3667
5 Th 0.9997 0.2500 0.8788
6 Th 0.0003 0.7500 0.1212
7 Th 0.4998 0.2500 0.1188
8 Th 0.5002 0.7500 0.8812

Calculated values
Its calculated density is 9708 kg/m3. As for the formation energy: 0.030 eV/atom. The calculated volume is 32.92 Å³ per atom.